Computed, not measured: a relaxed As2RuAu crystal at the PBE level of DFT.

Results
* distance to the lowest polymorph of the same formula: 100.3 meV/atom
* symmetry: No. 99
* formation enthalpy at 0 K: 146 meV per atom

Cell: 2.993 2.993 8.041 Å, 90.00 90.00 90.00°
Fractional positions:
Ru: 0.500 0.500 0.771
As: 0.500 0.500 0.278
As: 0.000 0.000 0.935
Au: 0.000 0.000 0.516